Record 1
Material: Pr4ErMg
Method: DFT, PBE
State: relaxed

Cell and atoms, written as POSCAR:
```
Pr4ErMg
1.0
-3.536 -0.107 1.121
-1.100 -0.454 -3.515
0.933 -14.373 1.565
Pr Er Mg
4 1 1
direct
0.500 0.500 0.171
0.000 0.000 0.652
0.000 0.000 0.348
0.500 0.500 0.829
0.000 0.000 0.000
0.500 0.500 0.500
```

Calculated values
Size of the total moment: 0.00 Bohr magnetons per cell
Calculated total energy: -4.233 eV per atom

***

Record 2
Material: PrErMg
Method: DFT, PBE
State: relaxed

Cell and atoms, written as POSCAR:
```
PrErMg
1.0
-3.344 -1.679 -0.061
1.513 -2.950 -1.737
2.178 -0.407 6.619
Pr Mg Er
1 1 1
direct
0.006 0.006 0.013
0.672 0.672 0.344
0.322 0.322 0.644
```

Calculated values
Size of the total moment: 0.18 Bohr magnetons per cell
Calculated total energy: -3.685 eV per atom

***

Record 3
Material: Pr6ErMg2
Method: DFT, PBE
State: relaxed

Cell and atoms, written as POSCAR:
```
Pr6ErMg2
1.0
6.230 0.000 0.000
-3.115 5.330 0.000
0.000 0.000 8.865
Pr Er Mg
6 1 2
direct
0.826 0.651 0.000
0.341 0.169 0.664
0.828 0.169 0.336
0.174 0.349 0.000
0.659 0.831 0.664
0.172 0.831 0.336
0.500 0.000 0.000
0.000 0.500 0.671
0.500 0.500 0.329
```

Calculated values
Size of the total moment: 0.00 Bohr magnetons per cell
Calculated total energy: -3.994 eV per atom